# GGA-PBEsol Na2BN, optimized geometry
# **Uncorrected formation energy**: 1.370 eV per atom
data_Na2BN
_chemical_formula_sum 'Na8 B4 N4'
_space_group_name_H-M_alt 'F m -3 m'
_space_group_IT_number 225
_space_group_name_Hall '-F 4 2 3'
_cell_length_a 5.921
_cell_length_b 5.921
_cell_length_c 5.921
_cell_angle_alpha 90.00
_cell_angle_beta 90.00
_cell_angle_gamma 90.00
loop_
_atom_site_label
_atom_site_type_symbol
_atom_site_fract_x
_atom_site_fract_y
_atom_site_fract_z
Na1 Na 0.250 0.250 0.250
B1 B 0.000 0.000 0.000
N1 N 0.000 0.000 0.500